[1]
Material: TiSbPRu2
Method: DFT, PBE-GGA
State: relaxed

a = 4.3037 Å, b = 4.3037 Å, c = 5.1669 Å
α = 90.00°, β = 90.00°, γ = 90.00°
Closest atoms and distances in Å follow each position.
Atoms (fractional coordinates):
Ti  0.0000  0.0000  0.0000  4 Sb 3.04, 8 Ru 3.36
Sb  0.5000  0.5000  0.0000  2 P 2.58
P  0.5000  0.5000  0.5000  4 Ru 2.15
Ru  0.0000  0.5000  0.5000  2 P 2.15
Ru  0.5000  0.0000  0.5000  2 P 2.15

formation energy (no corrections) = 0.462 eV per atom


[2]
Material: TbPrLuCd
Method: DFT, PBE-GGA
State: relaxed

a = 5.4929 Å, b = 5.4929 Å, c = 5.4929 Å
α = 60.00°, β = 60.00°, γ = 60.00°
Closest atoms and distances in Å follow each position.
Atoms (fractional coordinates):
Tb  0.0000  0.0000  0.0000  4 Lu 3.36, 4 Cd 3.36
Pr  0.5000  0.5000  0.5000  4 Cd 3.36, 4 Lu 3.36
Lu  0.7500  0.7500  0.7500  4 Tb 3.36, 4 Pr 3.36
Cd  0.2500  0.2500  0.2500  4 Tb 3.36, 4 Pr 3.36

formation energy from the elements = -20 kJ/mol of formula units


[3]
Material: Pt2Cl3F4
Method: DFT, PBE-GGA
State: relaxed

a = 9.3724 Å, b = 9.3724 Å, c = 5.6974 Å
α = 96.85°, β = 96.85°, γ = 124.94°
Closest atoms and distances in Å follow each position.
Atoms (fractional coordinates):
Pt  0.0171  0.3412  0.0027  3 F 1.93-2.09
Pt  0.3412  0.0171  0.5027  3 F 1.93-2.09
Pt  0.6588  0.9829  0.4973  3 F 1.93-2.09
Pt  0.9829  0.6588  0.9973  3 F 1.93-2.09
Cl  0.0809  0.9191  0.2500  2 Pt 2.27
Cl  0.2935  0.5378  0.8802  1 Cl 2.34, 1 Pt 2.42
Cl  0.4622  0.7065  0.6198  1 Cl 2.34, 1 Pt 2.42
Cl  0.5378  0.2935  0.3802  1 Cl 2.34, 1 Pt 2.42
Cl  0.7065  0.4622  0.1198  1 Cl 2.34, 1 Pt 2.42
Cl  0.9191  0.0809  0.7500  2 Pt 2.27
F  0.0828  0.5696  0.2374  2 Pt 2.08-2.09
F  0.0986  0.2715  0.2614  1 Pt 1.93
F  0.2715  0.0986  0.7614  1 Pt 1.93
F  0.4304  0.9172  0.2626  2 Pt 2.08-2.09
F  0.5696  0.0828  0.7374  2 Pt 2.08-2.09
F  0.7285  0.9014  0.2386  1 Pt 1.93
F  0.9014  0.7285  0.7386  1 Pt 1.93
F  0.9172  0.4304  0.7626  2 Pt 2.08-2.09

formation energy (no corrections) = -0.704 eV per atom


Values of mass density, in order: 7.0; 8.3; 4.8, all in g cm⁻³.
Values of Fermi-level density of states, in order: 0.5397; 1.2096; 0.1776, all in states/eV per atom.